No. 1
DFT (PBE-GGA) results for Hf2SiRh6 after structural relaxation.

```
Hf2SiRh6
1.0
-2.033 3.130 6.151
2.033 -3.130 6.151
2.033 3.130 -6.151
Hf Si Rh
2 1 6
Direct
0.158 0.158 0.000
0.842 0.842 0.000
0.500 0.500 0.000
0.108 0.338 0.770
0.282 0.000 0.282
0.432 0.662 0.770
0.568 0.338 0.230
0.718 0.000 0.718
0.892 0.662 0.230
```

Summary:
Symmetry ... No. 71
Crystal system ... orthorhombic
Total moment ... 0.000 μB/f.u.
E_form (uncorrected) ... -0.471 eV per atom

---

No. 2
DFT (PBE-GGA) results for LaTh2FeN4 after structural relaxation.

```
LaTh2FeN4
1.0
1.818 -5.959 0.000
1.818 5.959 0.000
0.000 0.000 11.957
La Th Fe N
2 4 2 8
Direct
0.096 0.904 0.750
0.904 0.096 0.250
0.368 0.632 0.558
0.368 0.632 0.942
0.632 0.368 0.058
0.632 0.368 0.442
0.168 0.832 0.250
0.832 0.168 0.750
0.000 0.000 0.000
0.000 0.000 0.500
0.265 0.735 0.119
0.265 0.735 0.381
0.445 0.555 0.750
0.555 0.445 0.250
0.735 0.265 0.619
0.735 0.265 0.881
```

Summary:
Symmetry ... No. 63
Crystal system ... orthorhombic
Total moment ... 2.997 μB/f.u.
E_form (uncorrected) ... -1.193 eV per atom

---

No. 3
DFT (PBE-GGA) results for Li2LaMg4Ag after structural relaxation.

```
Li2LaMg4Ag
1.0
2.413 1.393 9.370
-2.413 1.393 9.370
0.000 -2.786 9.370
Li La Mg Ag
2 1 4 1
Direct
0.240 0.240 0.240
0.760 0.760 0.760
0.000 0.000 0.000
0.132 0.132 0.132
0.402 0.402 0.402
0.598 0.598 0.598
0.868 0.868 0.868
0.500 0.500 0.500
```

Summary:
Symmetry ... No. 166
DFT formation energy ... -0.056 eV/atom
Crystal system ... trigonal
Total moment ... 0.000 μB/f.u.

---

No. 4
DFT (PBE-GGA) results for TlFe2Tc after structural relaxation.

```
TlFe2Tc
1.0
0.000 3.126 3.126
3.126 0.000 3.126
3.126 3.126 0.000
Tl Fe Tc
1 2 1
Direct
0.000 0.000 0.000
0.250 0.250 0.250
0.500 0.500 0.500
0.750 0.750 0.750
```

Summary:
Symmetry ... No. 216
DFT formation energy ... 0.613 eV/atom
Crystal system ... cubic
Total moment ... 5.245 μB/f.u.

---

No. 5
DFT (PBE-GGA) results for ZrH2IrRu after structural relaxation.

```
ZrH2IrRu
1.0
3.626 0.000 0.000
0.000 3.626 0.000
0.000 0.000 5.067
Zr H Ir Ru
1 2 1 1
Direct
0.000 0.000 0.000
0.000 0.500 0.500
0.500 0.000 0.500
0.500 0.500 0.500
0.500 0.500 0.000
```

Summary:
Symmetry ... No. 123
Crystal system ... tetragonal
Electronic total energy ... -32.0 eV/cell
Total moment ... 0.000 μB/f.u.

---

No. 6
DFT (PBE-GGA) results for CaTlS after structural relaxation.

```
CaTlS
1.0
2.485 1.435 8.287
-2.485 1.435 8.287
0.000 -2.870 8.287
Ca Tl S
2 2 2
Direct
0.109 0.109 0.109
0.891 0.891 0.891
0.342 0.342 0.342
0.658 0.658 0.658
0.220 0.220 0.220
0.780 0.780 0.780
```

Summary:
Symmetry ... No. 166
Crystal system ... trigonal
Total moment ... 0.000 μB/f.u.
E_form (uncorrected) ... -1.061 eV per atom

---

No. 7
DFT (PBE-GGA) results for HfNiAgTe2 after structural relaxation.

```
HfNiAgTe2
1.0
5.259 0.000 0.000
0.000 5.259 0.000
0.000 0.000 4.581
Hf Ni Ag Te
1 1 1 2
Direct
0.000 0.000 0.000
0.500 0.500 0.000
0.500 0.500 0.500
0.000 0.500 0.500
0.500 0.000 0.500
```

Summary:
Symmetry ... No. 123
Crystal system ... tetragonal
Total moment ... 0.000 μB/f.u.
E_form (uncorrected) ... 0.817 eV per atom

---

No. 8
DFT (PBE-GGA) results for TaCoSe4 after structural relaxation.

```
TaCoSe4
1.0
0.000 3.866 3.866
3.866 0.000 3.866
3.866 3.866 0.000
Ta Co Se
1 1 4
Direct
0.000 0.000 0.000
0.750 0.750 0.750
0.375 0.375 0.375
0.375 0.375 0.875
0.375 0.875 0.375
0.875 0.375 0.375
```

Summary:
Symmetry ... No. 216
Crystal system ... cubic
Total moment ... 0.805 μB/f.u.
E_form (uncorrected) ... 1.210 eV per atom